VASP calculation (PBE) on a geometry-optimized BaLi2Br structure.

Cell and atoms, written as POSCAR:
```
BaLi2Br
1.0
4.0472 0.0000 0.0000
0.0000 4.5053 0.0528
0.0000 2.1280 7.0519
Ba Br Li
1 1 2
Direct
0.0000 0.5420 0.5393
0.5000 0.9379 0.7521
0.0000 0.7933 0.0382
0.5000 0.2267 0.1704
```

Calculated values
Symmetry: Pm
Energy relative to the lowest polymorph listed for this composition: 0.0 kJ per mole of atoms
M_tot: 0.3 μB per cell
Raw formation energy: -0.639 eV/atom